Here is a relaxed structure of Tm5TlCd from Alexandria. Energies are from PBE.

Cell: 5.517 8.596 7.667 Å, 124.10 111.09 90.00°
Sites, in units of the cell vectors:
Tm 0.312 0.249 0.498
Tm 0.026 0.500 0.000
Tm 0.815 0.751 0.502
Tm 0.455 0.176 0.000
Tm 0.455 0.824 0.000
Tl 0.940 0.000 0.000
Cd 0.527 0.500 0.000

## Properties
DOS(E_F)	12.96	states/eV/f.u.
energy relative to the elements	0.614	eV/atom



Here is a relaxed structure of CsRuN2 from Alexandria. Energies are from PBE.

Cell: 7.286 7.286 7.286 Å, 26.54 26.54 26.54°
Sites, in units of the cell vectors:
Cs 0.000 0.000 0.000
Ru 0.500 0.500 0.500
N 0.870 0.870 0.870
N 0.130 0.130 0.130

## Properties
DOS(E_F)	3.75	states/eV/f.u.
formation energy from raw total energies	875	meV/atom
distance to the lowest polymorph of the same formula	0.745	eV/atom



Here is a relaxed structure of Sc2HgS from Alexandria. Energies are from PBE.

Cell: 3.564 3.564 7.801 Å, 76.80 76.80 60.00°
Sites, in units of the cell vectors:
Sc 0.066 0.066 0.801
Sc 0.266 0.266 0.201
Hg 0.499 0.499 0.502
S 0.668 0.668 0.997

## Properties
DOS(E_F)	3.36	states/eV/f.u.
formation energy from raw total energies	-1084	meV/atom
distance to the lowest polymorph of the same formula	0.054	eV/atom



| no. | total DFT energy (no corrections) (eV per atom) |
| --- | --- |
| 1 | -3.048 |
| 2 | -5.820 |
| 3 | -5.357 |